(1)
# Y3Zr | Alexandria via LeMat-Bulk | PBEsol | optimized geometry
data_Y3Zr
_space_group_name_H-M_alt 'P 4/m m m'
_space_group_IT_number 123
_space_group_name_Hall '-P 4 2'
_cell_length_a 3.976
_cell_length_b 3.976
_cell_length_c 7.077
_cell_angle_alpha 90.00
_cell_angle_beta 90.00
_cell_angle_gamma 90.00
loop_
_atom_site_label
_atom_site_type_symbol
_atom_site_fract_x
_atom_site_fract_y
_atom_site_fract_z
Y1 Y 0.000 0.000 0.000
Y2 Y 0.500 0.500 0.274
Zr1 Zr 0.000 0.000 0.500
# E_form (eV/atom): 0.18
# Size of the total moment (μB/f.u.): 0.000
# Crystal system: tetragonal
# ΔE to the lowest computed polymorph (kJ/mol of atoms): 9.65
# V (Å³ per atom): 27.97



(2)
# Hf2IO | Alexandria via LeMat-Bulk | PBEsol | optimized geometry
data_Hf2IO
_space_group_name_H-M_alt 'I -4 2 d'
_space_group_IT_number 122
_space_group_name_Hall 'I -4 2bw'
_cell_length_a 5.545
_cell_length_b 5.545
_cell_length_c 11.280
_cell_angle_alpha 90.00
_cell_angle_beta 90.00
_cell_angle_gamma 90.00
loop_
_atom_site_label
_atom_site_type_symbol
_atom_site_fract_x
_atom_site_fract_y
_atom_site_fract_z
Hf1 Hf 0.119 0.250 0.125
I1 I 0.000 0.000 0.500
O1 O 0.000 0.000 0.000
# Size of the total moment (μB/f.u.): 0.000
# Raw formation energy (meV per atom): -867
# Crystal system: tetragonal
# V (Å³ per atom): 21.68



(3)
# MgTi2O4 | Alexandria via LeMat-Bulk | PBEsol | optimized geometry
data_MgTi2O4
_space_group_name_H-M_alt 'I m m a'
_space_group_IT_number 74
_space_group_name_Hall '-I 2b 2'
_cell_length_a 5.799
_cell_length_b 6.033
_cell_length_c 8.574
_cell_angle_alpha 90.00
_cell_angle_beta 90.00
_cell_angle_gamma 90.00
loop_
_atom_site_label
_atom_site_type_symbol
_atom_site_fract_x
_atom_site_fract_y
_atom_site_fract_z
Mg1 Mg 0.000 0.000 0.000
Ti1 Ti 0.000 0.250 0.378
Ti2 Ti 0.250 0.250 0.750
O1 O 0.000 0.002 0.754
O2 O 0.243 0.250 0.989
# Size of the total moment (μB/f.u.): 0.982
# Raw formation energy (meV per atom): -2780
# Crystal system: orthorhombic
# ΔE to the lowest computed polymorph (kJ/mol of atoms): 8.47
# V (Å³ per atom): 10.71



(4)
# Ce6P17Pd6 | Alexandria via LeMat-Bulk | PBEsol | optimized geometry
data_Ce6P17Pd6
_space_group_name_H-M_alt 'I -4 3 m'
_space_group_IT_number 217
_space_group_name_Hall 'I -4 2 3'
_cell_length_a 10.100
_cell_length_b 10.100
_cell_length_c 10.100
_cell_angle_alpha 90.00
_cell_angle_beta 90.00
_cell_angle_gamma 90.00
loop_
_atom_site_label
_atom_site_type_symbol
_atom_site_fract_x
_atom_site_fract_y
_atom_site_fract_z
Ce1 Ce 0.000 0.000 0.284
P1 P 0.000 0.000 0.000
P2 P 0.077 0.286 0.286
P3 P 0.202 0.202 0.798
Pd1 Pd 0.000 0.250 0.500
# E_form (eV/atom): -0.86
# Size of the total moment (μB/f.u.): 4.266
# Crystal system: cubic
# V (Å³ per atom): 17.76



(5)
# IrWBr2 | Alexandria via LeMat-Bulk | PBEsol | optimized geometry
data_IrWBr2
_space_group_name_H-M_alt 'I 4/m m m'
_space_group_IT_number 139
_space_group_name_Hall '-I 4 2'
_cell_length_a 4.166
_cell_length_b 4.166
_cell_length_c 7.626
_cell_angle_alpha 90.00
_cell_angle_beta 90.00
_cell_angle_gamma 90.00
loop_
_atom_site_label
_atom_site_type_symbol
_atom_site_fract_x
_atom_site_fract_y
_atom_site_fract_z
Ir1 Ir 0.000 0.000 0.000
W1 W 0.000 0.000 0.500
Br1 Br 0.000 0.500 0.250
# Size of the total moment (μB/f.u.): 0.000
# Raw formation energy (meV per atom): 1330
# Crystal system: tetragonal
# ΔE to the lowest computed polymorph (kJ/mol of atoms): 117.64
# V (Å³ per atom): 16.55



(6)
# BiPbO3 | Alexandria via LeMat-Bulk | PBEsol | optimized geometry
data_BiPbO3
_space_group_name_H-M_alt 'P m -3 m'
_space_group_IT_number 221
_space_group_name_Hall '-P 4 2 3'
_cell_length_a 4.324
_cell_length_b 4.324
_cell_length_c 4.324
_cell_angle_alpha 90.00
_cell_angle_beta 90.00
_cell_angle_gamma 90.00
loop_
_atom_site_label
_atom_site_type_symbol
_atom_site_fract_x
_atom_site_fract_y
_atom_site_fract_z
Bi1 Bi 0.000 0.000 0.000
Pb1 Pb 0.500 0.500 0.500
O1 O 0.000 0.000 0.500
# Size of the total moment (μB/f.u.): 0.000
# Raw formation energy (meV per atom): -898
# Crystal system: cubic
# V (Å³ per atom): 16.17



(7)
# BiTe2IN | Alexandria via LeMat-Bulk | PBEsol | optimized geometry
data_BiTe2IN
_space_group_name_H-M_alt 'P 4/m m m'
_space_group_IT_number 123
_space_group_name_Hall '-P 4 2'
_cell_length_a 5.918
_cell_length_b 5.918
_cell_length_c 6.139
_cell_angle_alpha 90.00
_cell_angle_beta 90.00
_cell_angle_gamma 90.00
loop_
_atom_site_label
_atom_site_type_symbol
_atom_site_fract_x
_atom_site_fract_y
_atom_site_fract_z
Bi1 Bi 0.000 0.000 0.000
Te1 Te 0.000 0.500 0.000
I1 I 0.000 0.000 0.500
N1 N 0.500 0.500 0.500
# Size of the total moment (μB/f.u.): 3.659
# Raw formation energy (meV per atom): 1410
# Crystal system: tetragonal
# V (Å³ per atom): 43.00



(8)
# CaBrCl | Alexandria via LeMat-Bulk | PBEsol | optimized geometry
data_CaBrCl
_space_group_name_H-M_alt 'F -4 3 m'
_space_group_IT_number 216
_space_group_name_Hall 'F -4 2 3'
_cell_length_a 6.845
_cell_length_b 6.845
_cell_length_c 6.845
_cell_angle_alpha 90.00
_cell_angle_beta 90.00
_cell_angle_gamma 90.00
loop_
_atom_site_label
_atom_site_type_symbol
_atom_site_fract_x
_atom_site_fract_y
_atom_site_fract_z
Ca1 Ca 0.000 0.000 0.000
Br1 Br 0.250 0.250 0.250
Cl1 Cl 0.250 0.250 0.750
# Size of the total moment (μB/f.u.): 0.000
# Raw formation energy (meV per atom): -2148
# Crystal system: cubic
# V (Å³ per atom): 26.73



(9)
# Ca2Mn2Au | Alexandria via LeMat-Bulk | PBEsol | optimized geometry
data_Ca2Mn2Au
_space_group_name_H-M_alt 'I 4/m m m'
_space_group_IT_number 139
_space_group_name_Hall '-I 4 2'
_cell_length_a 5.662
_cell_length_b 5.662
_cell_length_c 7.281
_cell_angle_alpha 90.00
_cell_angle_beta 90.00
_cell_angle_gamma 90.00
loop_
_atom_site_label
_atom_site_type_symbol
_atom_site_fract_x
_atom_site_fract_y
_atom_site_fract_z
Ca1 Ca 0.000 0.500 0.250
Mn1 Mn 0.000 0.000 0.153
Au1 Au 0.000 0.000 0.500
# E_form (eV/atom): 0.58
# Size of the total moment (μB/f.u.): 6.864
# Crystal system: tetragonal
# V (Å³ per atom): 23.34



(10)
# SrZrReF2 | Alexandria via LeMat-Bulk | PBEsol | optimized geometry
data_SrZrReF2
_space_group_name_H-M_alt 'P 4/m m m'
_space_group_IT_number 123
_space_group_name_Hall '-P 4 2'
_cell_length_a 4.438
_cell_length_b 4.438
_cell_length_c 5.014
_cell_angle_alpha 90.00
_cell_angle_beta 90.00
_cell_angle_gamma 90.00
loop_
_atom_site_label
_atom_site_type_symbol
_atom_site_fract_x
_atom_site_fract_y
_atom_site_fract_z
Sr1 Sr 0.000 0.000 0.000
Zr1 Zr 0.500 0.500 0.000
Re1 Re 0.500 0.500 0.500
F1 F 0.000 0.500 0.500
# Size of the total moment (μB/f.u.): 0.001
# Raw formation energy (meV per atom): -156
# Crystal system: tetragonal
# V (Å³ per atom): 19.75



(11)
# Sc2SbP | Alexandria via LeMat-Bulk | PBEsol | optimized geometry
data_Sc2SbP
_space_group_name_H-M_alt 'F m -3 m'
_space_group_IT_number 225
_space_group_name_Hall '-F 4 2 3'
_cell_length_a 6.836
_cell_length_b 6.836
_cell_length_c 6.836
_cell_angle_alpha 90.00
_cell_angle_beta 90.00
_cell_angle_gamma 90.00
loop_
_atom_site_label
_atom_site_type_symbol
_atom_site_fract_x
_atom_site_fract_y
_atom_site_fract_z
Sc1 Sc 0.250 0.250 0.250
Sb1 Sb 0.000 0.000 0.000
P1 P 0.000 0.000 0.500
# Size of the total moment (μB/f.u.): 0.001
# Raw formation energy (meV per atom): -725
# Crystal system: cubic
# V (Å³ per atom): 19.96



(12)
# SiRhO2 | Alexandria via LeMat-Bulk | PBEsol | optimized geometry
data_SiRhO2
_space_group_name_H-M_alt 'R -3 m'
_space_group_IT_number 166
_space_group_name_Hall '-R 3 2"'
_cell_length_a 2.6325
_cell_length_b 2.6325
_cell_length_c 27.1879
_cell_angle_alpha 90.00
_cell_angle_beta 90.00
_cell_angle_gamma 120.00
loop_
_atom_site_label
_atom_site_type_symbol
_atom_site_fract_x
_atom_site_fract_y
_atom_site_fract_z
Si1 Si 0.0000 0.0000 0.0000
Rh1 Rh 0.0000 0.0000 0.5000
O1 O 0.0000 0.0000 0.3674
# Size of the total moment (μB/f.u.): 1.270
# Raw formation energy (meV per atom): -1423
# Crystal system: trigonal
# V (Å³ per atom): 13.60